# 1
Below is a relaxed Dy9HoEr2 crystal, with properties calculated at the PBE level.

Values from the calculation:
ΔE to the lowest computed polymorph	0.00	eV/f.u.
SG	P4/mmm

Geometry as POSCAR:
```
Dy9HoEr2
1.0
4.989 0.000 0.000
0.000 4.989 0.000
0.000 0.000 14.964
Dy Ho Er
9 1 2
direct
0.500 0.500 0.000 Dy
0.500 0.500 0.334 Dy
0.500 0.500 0.666 Dy
0.500 0.000 0.167 Dy
0.500 0.000 0.500 Dy
0.500 0.000 0.833 Dy
0.000 0.500 0.167 Dy
0.000 0.500 0.500 Dy
0.000 0.500 0.833 Dy
0.000 0.000 0.000 Ho
0.000 0.000 0.333 Er
0.000 0.000 0.667 Er
```

***

# 2
Below is a relaxed Sr2GePtO6 crystal, with properties calculated at the PBE level.

Values from the calculation:
ΔE_f (raw)	-1.743	eV per atom
SG	Fm-3m

Geometry as POSCAR:
```
Sr2GePtO6
1.0
5.581 0.000 0.000
0.000 5.581 0.000
0.000 0.000 7.899
Sr Ge Pt O
4 2 2 12
direct
0.500 0.750 0.250 Sr
0.000 0.250 0.750 Sr
0.500 0.750 0.750 Sr
0.000 0.250 0.250 Sr
0.500 0.250 0.500 Ge
0.000 0.750 0.000 Ge
0.000 0.750 0.500 Pt
0.500 0.250 0.000 Pt
0.500 0.249 0.258 O
0.500 0.249 0.742 O
0.000 0.751 0.242 O
0.000 0.751 0.758 O
0.258 0.008 0.500 O
0.742 0.008 0.500 O
0.258 0.492 0.500 O
0.742 0.492 0.500 O
0.758 0.508 0.000 O
0.242 0.508 0.000 O
0.242 0.992 0.000 O
0.758 0.992 0.000 O
```

***

# 3
Below is a relaxed Ge3PtF crystal, with properties calculated at the PBE level.

Values from the calculation:
ΔE_f (raw)	0.032	eV per atom
ΔE to the lowest computed polymorph	0.00	eV/f.u.
SG	Pm-3m

Geometry as POSCAR:
```
Ge3PtF
1.0
-1.235 3.823 -1.943
-3.161 -2.178 -2.276
-2.898 0.746 3.310
Ge Pt F
3 1 1
direct
0.000 0.500 0.000 Ge
0.000 0.000 0.500 Ge
0.500 0.000 0.000 Ge
0.500 0.500 0.500 Pt
0.000 0.000 0.000 F
```

***

# 4
Below is a relaxed Er4Te2AsC crystal, with properties calculated at the PBE level.

Values from the calculation:
ΔE_f (raw)	-1.147	eV per atom
SG	P2/m

Geometry as POSCAR:
```
Er4Te2AsC
1.0
3.979 0.000 0.000
0.000 6.988 0.136
0.000 -2.435 6.890
Er Te As C
4 2 1 1
direct
0.500 0.265 0.202 Er
0.500 0.735 0.798 Er
0.000 0.289 0.804 Er
0.000 0.711 0.196 Er
0.500 0.000 0.500 Te
0.000 0.500 0.500 Te
0.000 0.000 0.000 As
0.500 0.500 0.000 C
```

***

# 5
Below is a relaxed BeRePCl2 crystal, with properties calculated at the PBE level.

Values from the calculation:
ΔE_f (raw)	1.120	eV per atom
ΔE to the lowest computed polymorph	2.13	eV/f.u.
SG	P4/mmm

Geometry as POSCAR:
```
BeRePCl2
1.0
-1.495 -3.949 1.650
4.483 -0.788 2.175
-1.445 2.111 3.743
Re Be P Cl
1 1 1 2
direct
0.000 0.000 0.000 Re
0.000 0.500 0.000 Be
0.500 0.500 0.500 P
0.000 0.000 0.500 Cl
0.500 0.000 0.000 Cl
```

***

# 6
Below is a relaxed Tb3Sc2Tl2 crystal, with properties calculated at the PBE level.

Values from the calculation:
ΔE to the lowest computed polymorph	0.00	eV/f.u.
SG	C2/m

Geometry as POSCAR:
```
Tb3Sc2Tl2
1.0
5.292 0.000 0.000
-2.646 4.570 -0.278
0.000 -2.580 7.972
Tb Sc Tl
3 2 2
direct
0.500 0.000 0.000 Tb
0.655 0.310 0.465 Tb
0.345 0.690 0.535 Tb
0.929 0.857 0.287 Sc
0.071 0.143 0.713 Sc
0.785 0.570 0.855 Tl
0.215 0.430 0.145 Tl
```

***

# 7
Below is a relaxed InFe2Si crystal, with properties calculated at the PBE level.

Values from the calculation:
ΔE_f (raw)	0.397	eV per atom
SG	F-43m

Geometry as POSCAR:
```
InFe2Si
1.0
4.337 0.000 0.000
2.169 3.756 0.000
2.169 1.252 3.541
Fe In Si
2 1 1
direct
0.000 0.000 0.000 Fe
0.250 0.250 0.250 Fe
0.500 0.500 0.500 In
0.750 0.750 0.750 Si
```

***

# 8
Below is a relaxed LiIrOs crystal, with properties calculated at the PBE level.

Values from the calculation:
ΔE to the lowest computed polymorph	0.00	eV/f.u.
SG	P2_1/m

Geometry as POSCAR:
```
LiIrOs
1.0
4.580 0.000 -0.003
0.000 2.715 0.000
-1.140 0.000 6.637
Ir Os Li
2 2 2
direct
0.483 0.250 0.664 Ir
0.517 0.750 0.336 Ir
0.251 0.250 0.015 Os
0.749 0.750 0.985 Os
0.008 0.250 0.340 Li
0.992 0.750 0.660 Li
```

***

# 9
Below is a relaxed MgSb2P crystal, with properties calculated at the PBE level.

Values from the calculation:
ΔE_f (raw)	0.240	eV per atom
ΔE to the lowest computed polymorph	1.18	eV/f.u.
SG	F-43m

Geometry as POSCAR:
```
MgSb2P
1.0
-2.238 -4.345 1.346
0.817 -1.951 4.607
-3.708 0.023 3.457
Mg P Sb
1 1 2
direct
0.500 0.500 0.500 Mg
0.750 0.750 0.750 P
0.000 0.000 0.000 Sb
0.250 0.250 0.250 Sb
```

***

# 10
Below is a relaxed TaIn3W crystal, with properties calculated at the PBE level.

Values from the calculation:
ΔE to the lowest computed polymorph	0.00	eV/f.u.
SG	Pm-3m

Geometry as POSCAR:
```
TaIn3W
1.0
5.174 0.000 0.000
0.000 5.174 0.000
0.000 0.000 5.174
In W Ta
3 1 1
direct
0.000 0.500 0.000 In
0.000 0.000 0.500 In
0.500 0.000 0.000 In
0.000 0.000 0.000 W
0.500 0.500 0.500 Ta
```

***

no.,M_tot (μB per formula unit)
1,0.0
2,0.0
3,0.0
4,0.0
5,1.9
6,0.0
7,4.4
8,0.0
9,0.0
10,0.3